1.
The following is a PBE calculation of crystalline MnCuNiGe at its relaxed geometry, from Alexandria via LeMat-Bulk.

Results
N(E_F) in states/eV/cell: 1.29
ΔH_f (0 K) in kJ/mol of formula units: -30

The structure in POSCAR format:
```
MnCuNiGe
1.0
-0.4006 -2.7203 -3.1190
2.7121 0.0362 -3.1515
2.7400 -3.0991 -0.4206
Ni Ge Cu Mn
1 1 1 1
Cartesian
3.7886 -4.3374 -5.0183
2.5257 -2.8916 -3.3455
1.2629 -1.4458 -1.6728
0.0000 0.0000 0.0000
```

---

2.
The following is a PBE calculation of crystalline GaGeIr2W at its relaxed geometry, from Alexandria via LeMat-Bulk.

Results
N(E_F) in states/eV/cell: 4.71
ΔH_f (0 K) in kJ/mol of formula units: 709

The structure in POSCAR format:
```
GaGeIr2W
1.0
-0.3543 4.2533 -1.4753
-0.3933 -1.5481 -4.3687
-4.4857 -0.2080 0.4775
Ir Ga W Ge
2 1 1 1
Cartesian
-2.2428 -0.1040 0.2388
-0.1771 2.1266 -0.7376
-0.1966 -0.7740 -2.1844
-2.6166 1.2486 -2.6832
0.0000 0.0000 0.0000
```

---

3.
The following is a PBE calculation of crystalline La8Al at its relaxed geometry, from Alexandria via LeMat-Bulk.

Results
N(E_F) in states/eV/cell: 13.81
ΔH_f (0 K) in kJ/mol of formula units: -32

The structure in POSCAR format:
```
La8Al
1.0
-2.4197 5.6764 5.3357
0.6542 -8.0418 -1.2031
7.9871 1.2968 1.0341
La Al
8 1
Cartesian
4.8033 0.0772 2.0961
1.7556 2.1988 2.0085
2.7248 -2.1268 -0.0533
-1.3805 1.0390 3.1252
1.4184 -1.1457 3.0705
3.8119 4.7744 4.3612
-0.3849 -3.4043 1.0073
5.9165 -4.6181 -0.1157
0.0000 0.0000 0.0000
```

---

4.
The following is a PBE calculation of crystalline VB2Se6 at its relaxed geometry, from Alexandria via LeMat-Bulk.

Results
N(E_F) in states/eV/cell: 6.55
Calculated total energy in eV per cell: -89.80

The structure in POSCAR format:
```
VB2Se6
1.0
6.2222 -0.3211 -0.3109
1.3926 7.6103 0.1779
1.3926 0.4244 7.6006
B V Se
4 2 12
Cartesian
6.0301 5.9458 4.7840
2.9774 1.7678 2.6836
2.9189 5.1347 5.9431
6.0885 2.5789 1.5245
6.0593 6.4946 0.8484
2.9482 1.2190 6.6192
4.9585 2.1548 3.1962
6.2648 7.4171 6.2322
3.7986 3.4181 6.7623
5.8537 1.0838 0.1009
5.2088 4.2955 0.7053
2.0977 1.0047 4.4259
6.9098 6.7090 3.0418
4.0489 5.5588 4.2715
7.1600 4.2888 5.2620
3.1537 6.6298 7.3667
1.8474 3.4249 2.2056
2.7426 0.2965 1.2354
```

---

5.
The following is a PBE calculation of crystalline BeAuC3 at its relaxed geometry, from Alexandria via LeMat-Bulk.

Results
N(E_F) in states/eV/cell: 4.15
Distance to the lowest polymorph of the same formula in eV per atom: 0.922
ΔH_f (0 K) in kJ/mol of formula units: 1639

The structure in POSCAR format:
```
BeAuC3
1.0
-2.8923 2.9152 -0.2188
-2.1145 -2.2987 -2.6752
-2.0187 -1.7690 3.1156
C Be Au
3 1 1
Cartesian
-1.4461 1.4576 -0.1094
-1.0573 -1.1493 -1.3376
-1.0093 -0.8845 1.5578
-3.5127 -0.5762 0.1108
0.0000 0.0000 0.0000
```